The following is a GGA+U calculation of crystalline DyPaFeO6 at its relaxed geometry, from the Alexandria database.

Geometry as POSCAR:
```
DyPaFeO6
1.0
-0.052 -4.289 -2.185
2.385 -2.172 4.207
-5.292 0.188 -0.242
O Pa Dy Fe
6 1 1 1
direct
0.733 0.290 0.980
0.267 0.690 0.980
0.267 0.290 0.310
0.267 0.020 0.710
0.733 0.690 0.710
0.733 0.020 0.310
0.000 0.333 0.667
0.500 0.667 0.333
0.500 0.000 0.000
```

The total magnetization is 2.00 μB per cell. As for the symmetry: P312, No. 149. The electronic total energy is -7.98 eV per atom.